(1)
VASP calculation (PBE) on a relaxed Zr3MnAl crystal.

Structure (extended XYZ):
```
5
Lattice="-2.493 -3.981 0.968 2.769 -2.472 -3.037 3.020 -1.020 3.583" Properties=species:S:1:pos:R:3 pbc="T T T"
Mn 0.000 0.000 0.000
Al 1.648 -3.737 0.757
Zr 1.384 -1.236 -1.518
Zr 1.510 -0.510 1.792
Zr -1.247 -1.990 0.484
```

Computed properties:
The polymorph energy (0 for the lowest one) is 0 meV per atom. Its calculated formation energy is 0.288 eV/atom.

***

(2)
VASP calculation (PBE) on a relaxed Zr2MnAl crystal.

Structure (extended XYZ):
```
4
Lattice="-8.430 4.640 1.770 -9.407 1.761 2.029 -8.134 3.161 4.423" Properties=species:S:1:pos:R:3 pbc="T T T"
Mn -19.585 7.211 6.201
Al -12.798 4.712 4.052
Zr -0.207 0.076 0.066
Zr -6.366 2.344 2.015
```

Computed properties:
Its calculated formation energy is 0.077 eV/atom.

***

(3)
VASP calculation (PBE) on a relaxed Zr3MnAl crystal.

Structure (extended XYZ):
```
5
Lattice="-1.611 -2.804 -3.740 4.674 -1.002 -1.262 -0.042 -3.947 2.977" Properties=species:S:1:pos:R:3 pbc="T T T"
Mn 1.511 -3.876 -1.013
Al 0.000 0.000 0.000
Zr 2.337 -0.501 -0.631
Zr -0.021 -1.974 1.489
Zr -0.805 -1.402 -1.870
```

Computed properties:
The polymorph energy (0 for the lowest one) is 969 meV per atom. Its calculated formation energy is 1.257 eV/atom.

***

(4)
VASP calculation (PBE) on a relaxed ZrMn2Al2 crystal.

Structure (extended XYZ):
```
10
Lattice="7.389 0.000 0.000 0.000 7.389 0.000 0.000 0.000 2.821" Properties=species:S:1:pos:R:3 pbc="T T T"
Mn 1.267 4.962 1.411
Mn 4.962 6.122 1.411
Mn 6.122 2.428 1.411
Mn 2.428 1.267 1.411
Al 2.774 6.468 0.000
Al 6.468 4.615 0.000
Al 4.615 0.921 0.000
Al 0.921 2.774 0.000
Zr 0.000 0.000 0.000
Zr 3.695 3.695 0.000
```

Computed properties:
The polymorph energy (0 for the lowest one) is 0 meV per atom. Its calculated formation energy is -0.195 eV/atom.

***

(5)
VASP calculation (PBE) on a relaxed ZrMn2Al2 crystal.

Structure (extended XYZ):
```
5
Lattice="4.007 0.000 0.000 0.000 4.007 0.000 2.004 2.004 4.974" Properties=species:S:1:pos:R:3 pbc="T T T"
Mn 2.004 2.004 0.983
Mn 4.007 4.007 3.990
Al 4.007 2.004 2.487
Al 2.004 4.007 2.487
Zr 0.000 0.000 0.000
```

Computed properties:
The polymorph energy (0 for the lowest one) is 113 meV per atom. Its calculated formation energy is -0.081 eV/atom.

***

(6)
VASP calculation (PBE) on a relaxed Zr2MnAl crystal.

Structure (extended XYZ):
```
4
Lattice="5.575 0.016 0.020 4.636 3.097 0.020 1.939 0.591 4.211" Properties=species:S:1:pos:R:3 pbc="T T T"
Mn 3.013 0.919 1.078
Al 6.397 1.950 1.961
Zr 9.924 3.026 0.183
Zr 9.101 2.775 3.192
```

Computed properties:
Its calculated formation energy is -0.144 eV/atom.